# 1
Material: CePuHgRu
Method: DFT, GGA-PBE
State: relaxed

Cell and atoms, written as POSCAR:
```
CePuHgRu
1.0
3.313 0.000 0.000
0.000 3.313 0.000
0.000 0.000 8.460
Ce Pu Hg Ru
1 1 1 1
direct
0.500 0.500 0.779
0.500 0.500 0.361
0.000 0.000 0.074
0.000 0.000 0.571
```

Computed properties:
crystal system: tetragonal
calculated total energy: -30.8 eV for the cell shown
energy relative to the lowest polymorph listed for this composition: 0 meV/atom
magnetization: 5.76 μB/f.u.


# 2
Material: CeSmPuHg
Method: DFT, GGA-PBE
State: relaxed

Cell and atoms, written as POSCAR:
```
CeSmPuHg
1.0
5.305 0.000 0.000
2.652 4.594 0.000
2.652 1.531 4.331
Ce Hg Sm Pu
1 1 1 1
direct
0.500 0.500 0.500
0.000 0.000 0.000
0.750 0.750 0.750
0.250 0.250 0.250
```

Computed properties:
crystal system: cubic
calculated total energy: -25.3 eV for the cell shown
magnetization: 8.15 μB/f.u.